Compound: CaMgTlCd
Source: the Alexandria database
Functional: PBE
Structure: relaxed

ΔH_f (0 K): -0.264 eV/atom
Total moment: 0.00 μB per cell
Space-group type: No. 216
Total energy: -1.983 eV per atom
N(E_F): 1.59 states/eV/f.u.

The structure in CIF format:
```
data_CaMgTlCd
_chemical_formula_sum 'Ca1 Mg1 Tl1 Cd1'
_symmetry_space_group_name_H-M 'P 1'
_symmetry_Int_Tables_number 1
_cell_length_a 5.2311
_cell_length_b 5.2311
_cell_length_c 5.2311
_cell_angle_alpha 60.00
_cell_angle_beta 60.00
_cell_angle_gamma 60.00
loop_
_symmetry_equiv_pos_as_xyz
'x,y,z'
loop_
_atom_site_label
_atom_site_type_symbol
_atom_site_fract_x
_atom_site_fract_y
_atom_site_fract_z
Tl1 Tl 0.2500 0.2500 0.2500
Ca1 Ca 0.0000 0.0000 0.0000
Mg1 Mg 0.5000 0.5000 0.5000
Cd1 Cd 0.7500 0.7500 0.7500
```


Compound: CaTmMgCd
Source: the Alexandria database
Functional: PBE
Structure: relaxed

ΔH_f (0 K): -0.183 eV/atom
Total moment: 0.00 μB per cell
Space-group type: No. 216
Total energy: -2.429 eV per atom
N(E_F): 3.28 states/eV/f.u.

The structure in CIF format:
```
data_CaTmMgCd
_chemical_formula_sum 'Ca1 Tm1 Mg1 Cd1'
_symmetry_space_group_name_H-M 'P 1'
_symmetry_Int_Tables_number 1
_cell_length_a 5.3618
_cell_length_b 5.3618
_cell_length_c 5.3618
_cell_angle_alpha 60.00
_cell_angle_beta 60.00
_cell_angle_gamma 60.00
loop_
_symmetry_equiv_pos_as_xyz
'x,y,z'
loop_
_atom_site_label
_atom_site_type_symbol
_atom_site_fract_x
_atom_site_fract_y
_atom_site_fract_z
Mg1 Mg 0.7500 0.7500 0.7500
Ca1 Ca 0.0000 0.0000 0.0000
Tm1 Tm 0.5000 0.5000 0.5000
Cd1 Cd 0.2500 0.2500 0.2500
```


Compound: Ca2TmMg2Cd5
Source: the Alexandria database
Functional: PBE
Structure: relaxed

ΔH_f (0 K): -0.230 eV/atom
Total moment: 0.00 μB per cell
Space-group type: No. 127
Total energy: -1.854 eV per atom
N(E_F): 4.22 states/eV/f.u.

The structure in CIF format:
```
data_Ca2TmMg2Cd5
_chemical_formula_sum 'Ca4 Tm2 Mg4 Cd10'
_symmetry_space_group_name_H-M 'P 1'
_symmetry_Int_Tables_number 1
_cell_length_a 4.4002
_cell_length_b 10.7279
_cell_length_c 10.7279
_cell_angle_alpha 90.00
_cell_angle_beta 90.00
_cell_angle_gamma 90.00
loop_
_symmetry_equiv_pos_as_xyz
'x,y,z'
loop_
_atom_site_label
_atom_site_type_symbol
_atom_site_fract_x
_atom_site_fract_y
_atom_site_fract_z
Cd1 Cd 0.5000 0.5550 0.7051
Cd2 Cd 0.5000 0.7051 0.4450
Cd3 Cd 0.5000 0.4450 0.2949
Cd4 Cd 0.5000 0.2051 0.0550
Cd5 Cd 0.5000 0.5000 0.0000
Cd6 Cd 0.5000 0.0550 0.7949
Cd7 Cd 0.5000 0.7949 0.9450
Cd8 Cd 0.5000 0.9450 0.2051
Cd9 Cd 0.5000 0.0000 0.5000
Cd10 Cd 0.5000 0.2949 0.5550
Mg1 Mg 0.0000 0.1169 0.6169
Mg2 Mg 0.0000 0.6169 0.8831
Mg3 Mg 0.0000 0.8831 0.3831
Mg4 Mg 0.0000 0.3831 0.1169
Ca1 Ca 0.0000 0.8206 0.6794
Ca2 Ca 0.0000 0.6794 0.1794
Ca3 Ca 0.0000 0.1794 0.3206
Ca4 Ca 0.0000 0.3206 0.8206
Tm1 Tm 0.0000 0.5000 0.5000
Tm2 Tm 0.0000 0.0000 0.0000
```


Compound: CaTmMgCd
Source: the Alexandria database
Functional: PBE
Structure: relaxed

ΔH_f (0 K): -0.201 eV/atom
Total moment: 0.00 μB per cell
Space-group type: No. 99
Total energy: -2.447 eV per atom
N(E_F): 2.75 states/eV/f.u.

The structure in CIF format:
```
data_CaTmMgCd
_chemical_formula_sum 'Ca1 Tm1 Mg1 Cd1'
_symmetry_space_group_name_H-M 'P 1'
_symmetry_Int_Tables_number 1
_cell_length_a 3.8156
_cell_length_b 3.8156
_cell_length_c 7.5856
_cell_angle_alpha 90.00
_cell_angle_beta 90.00
_cell_angle_gamma 90.00
loop_
_symmetry_equiv_pos_as_xyz
'x,y,z'
loop_
_atom_site_label
_atom_site_type_symbol
_atom_site_fract_x
_atom_site_fract_y
_atom_site_fract_z
Tm1 Tm 0.0000 0.0000 0.3476
Mg1 Mg 0.5000 0.5000 0.5916
Ca1 Ca 0.0000 0.0000 0.8642
Cd1 Cd 0.5000 0.5000 0.1246
```


Compound: CaYMg2Cd
Source: the Alexandria database
Functional: PBE
Structure: relaxed

ΔH_f (0 K): 0.690 eV/atom
Total moment: 0.00 μB per cell
Space-group type: No. 123
Total energy: -1.824 eV per atom
N(E_F): 4.92 states/eV/f.u.

The structure in CIF format:
```
data_CaYMg2Cd
_chemical_formula_sum 'Ca1 Y1 Mg2 Cd1'
_symmetry_space_group_name_H-M 'P 1'
_symmetry_Int_Tables_number 1
_cell_length_a 5.5053
_cell_length_b 5.4137
_cell_length_c 5.5053
_cell_angle_alpha 90.00
_cell_angle_beta 90.00
_cell_angle_gamma 90.00
loop_
_symmetry_equiv_pos_as_xyz
'x,y,z'
loop_
_atom_site_label
_atom_site_type_symbol
_atom_site_fract_x
_atom_site_fract_y
_atom_site_fract_z
Mg1 Mg 0.0000 0.0000 0.5000
Mg2 Mg 0.5000 0.0000 0.0000
Y1 Y 0.5000 0.5000 0.5000
Cd1 Cd 0.0000 0.5000 0.0000
Ca1 Ca 0.0000 0.0000 0.0000
```


Compound: CaYMgCd2
Source: the Alexandria database
Functional: PBE
Structure: relaxed

ΔH_f (0 K): 0.272 eV/atom
Total moment: 0.00 μB per cell
Space-group type: No. 123
Total energy: -2.106 eV per atom
N(E_F): 4.78 states/eV/f.u.

The structure in CIF format:
```
data_CaYMgCd2
_chemical_formula_sum 'Ca1 Y1 Mg1 Cd2'
_symmetry_space_group_name_H-M 'P 1'
_symmetry_Int_Tables_number 1
_cell_length_a 5.2536
_cell_length_b 5.2536
_cell_length_c 5.5755
_cell_angle_alpha 90.00
_cell_angle_beta 90.00
_cell_angle_gamma 90.00
loop_
_symmetry_equiv_pos_as_xyz
'x,y,z'
loop_
_atom_site_label
_atom_site_type_symbol
_atom_site_fract_x
_atom_site_fract_y
_atom_site_fract_z
Mg1 Mg 0.0000 0.0000 0.0000
Y1 Y 0.0000 0.0000 0.5000
Cd1 Cd 0.0000 0.5000 0.0000
Cd2 Cd 0.5000 0.0000 0.0000
Ca1 Ca 0.5000 0.5000 0.5000
```


Compound: Ca2MgZnCd6
Source: the Alexandria database
Functional: PBE
Structure: relaxed

ΔH_f (0 K): -0.103 eV/atom
Total moment: 0.00 μB per cell
Space-group type: No. 166
Total energy: -1.339 eV per atom
N(E_F): 5.34 states/eV/f.u.

The structure in CIF format:
```
data_Ca2MgZnCd6
_chemical_formula_sum 'Ca4 Mg2 Zn2 Cd12'
_symmetry_space_group_name_H-M 'P 1'
_symmetry_Int_Tables_number 1
_cell_length_a 7.0975
_cell_length_b 7.0975
_cell_length_c 12.6547
_cell_angle_alpha 73.71
_cell_angle_beta 73.71
_cell_angle_gamma 60.00
loop_
_symmetry_equiv_pos_as_xyz
'x,y,z'
loop_
_atom_site_label
_atom_site_type_symbol
_atom_site_fract_x
_atom_site_fract_y
_atom_site_fract_z
Mg1 Mg 0.5741 0.5741 0.2778
Mg2 Mg 0.4259 0.4259 0.7222
Cd1 Cd 0.3311 0.9269 0.4109
Cd2 Cd 0.3311 0.3311 0.4109
Cd3 Cd 0.0731 0.6689 0.5891
Cd4 Cd 0.6689 0.0731 0.5891
Cd5 Cd 0.7769 0.7769 0.0902
Cd6 Cd 0.2231 0.2231 0.9098
Cd7 Cd 0.3559 0.7769 0.0902
Cd8 Cd 0.7769 0.3559 0.0902
Cd9 Cd 0.2231 0.6441 0.9098
Cd10 Cd 0.6441 0.2231 0.9098
Cd11 Cd 0.6689 0.6689 0.5891
Cd12 Cd 0.9269 0.3311 0.4109
Ca1 Ca 0.2790 0.2790 0.1631
Ca2 Ca 0.1035 0.1035 0.6895
Ca3 Ca 0.7210 0.7210 0.8369
Ca4 Ca 0.8965 0.8965 0.3105
Zn1 Zn 0.5000 0.5000 0.5000
Zn2 Zn 0.0000 0.0000 0.0000
```


Compound: Ca2MgZn3Cd12
Source: the Alexandria database
Functional: PBE
Structure: relaxed

ΔH_f (0 K): -0.014 eV/atom
Total moment: 0.00 μB per cell
Space-group type: No. 166
Total energy: -1.148 eV per atom
N(E_F): 6.43 states/eV/f.u.

The structure in CIF format:
```
data_Ca2MgZn3Cd12
_chemical_formula_sum 'Ca2 Mg1 Zn3 Cd12'
_symmetry_space_group_name_H-M 'P 1'
_symmetry_Int_Tables_number 1
_cell_length_a 7.5867
_cell_length_b 7.5867
_cell_length_c 7.5867
_cell_angle_alpha 84.81
_cell_angle_beta 84.81
_cell_angle_gamma 84.81
loop_
_symmetry_equiv_pos_as_xyz
'x,y,z'
loop_
_atom_site_label
_atom_site_type_symbol
_atom_site_fract_x
_atom_site_fract_y
_atom_site_fract_z
Zn1 Zn 0.0000 0.5000 0.0000
Zn2 Zn 0.5000 0.0000 0.0000
Zn3 Zn 0.0000 0.0000 0.5000
Cd1 Cd 0.8072 0.3036 0.8072
Cd2 Cd 0.1928 0.1928 0.6964
Cd3 Cd 0.6964 0.1928 0.1928
Cd4 Cd 0.1928 0.6964 0.1928
Cd5 Cd 0.5832 0.5832 0.1425
Cd6 Cd 0.5832 0.1425 0.5832
Cd7 Cd 0.4168 0.4168 0.8575
Cd8 Cd 0.3036 0.8072 0.8072
Cd9 Cd 0.4168 0.8575 0.4168
Cd10 Cd 0.8575 0.4168 0.4168
Cd11 Cd 0.8072 0.8072 0.3036
Cd12 Cd 0.1425 0.5832 0.5832
Ca1 Ca 0.2618 0.2618 0.2618
Ca2 Ca 0.7382 0.7382 0.7382
Mg1 Mg 0.0000 0.0000 0.0000
```